1.
Computed, not measured: a relaxed structure of Mg5In2 at the GGA-PBE level of DFT.

Cell: 7.6355 7.6355 8.2425 Å, 92.85 92.85 42.40°
Positions (direct):
Mg: 0.0289 0.6877 0.0352
Mg: 0.1243 0.4469 0.6826
Mg: 0.1785 0.8215 0.7500
Mg: 0.3123 0.9711 0.4648
Mg: 0.4469 0.1243 0.1826
Mg: 0.5531 0.8757 0.8174
Mg: 0.6877 0.0289 0.5352
Mg: 0.8215 0.1785 0.2500
Mg: 0.8757 0.5531 0.3174
Mg: 0.9711 0.3123 0.9648
In: 0.2450 0.6014 0.3924
In: 0.3986 0.7550 0.1076
In: 0.6014 0.2450 0.8924
In: 0.7550 0.3986 0.6076

Results
Total magnetic moment ... 0.000 μB per atom
Energy relative to the elements ... -63 meV per atom
Symmetry ... C2/c
Fermi-level density of states ... 2.641 states/eV/f.u.

2.
Computed, not measured: a relaxed structure of DyScCdCu at the GGA-PBE level of DFT.

Cell: 3.3916 3.3916 7.5022 Å, 90.00 90.00 90.00°
Positions (direct):
Dy: 0.0000 0.0000 0.0000
Sc: 0.0000 0.0000 0.5606
Cd: 0.5000 0.5000 0.2986
Cu: 0.5000 0.5000 0.7539

Results
Total magnetic moment ... 0.000 μB per atom
Energy relative to the elements ... -272 meV per atom
Symmetry ... P4mm
Fermi-level density of states ... 3.071 states/eV/f.u.